# GdTmMnTl (PBE, relaxed)
data_GdTmMnTl
_chemical_formula_sum 'Gd4 Tm4 Mn4 Tl4'
_space_group_name_H-M_alt 'F -4 3 m'
_space_group_IT_number 216
_space_group_name_Hall 'F -4 2 3'
_cell_length_a 7.3713
_cell_length_b 7.3713
_cell_length_c 7.3713
_cell_angle_alpha 90.00
_cell_angle_beta 90.00
_cell_angle_gamma 90.00
loop_
_atom_site_label
_atom_site_fract_x
_atom_site_fract_y
_atom_site_fract_z
_atom_site_occupancy
Gd1 0.0000 0.0000 0.0000 1
Tm1 0.0000 0.0000 0.5000 1
Mn1 0.2500 0.2500 0.2500 1
Tl1 0.2500 0.2500 0.7500 1
# total DFT energy (no corrections) = -7.5160 eV/atom
# calculated density = 9.71 Mg/m³
# spin magnetization = 2.620 μB per atom
# energy of formation = 0.006 eV per atom